Run A
# Li6Os4O11

A relaxed structure of Li6Os4O11 (GGA-PBE, the Open Quantum Materials Database).

Summary:
The calculation puts the spin magnetization at 0.092 μB/atom. Its space-group type is No. 1.

Cell: 9.9157 4.9132 4.9866 Å, 98.10 102.88 115.85°
Site moments in Bohr magnetons follow the coordinates.
Positions (direct):
O (0.2919, 0.9273, 0.1949)  0.20
O (0.4425, 0.5427, 0.1968)  0.00
O (0.8875, 0.7747, 0.7888)  0.04
O (0.9636, 0.5636, 0.2791)  0.11
O (0.6208, 0.2589, 0.2619)  0.01
O (0.3631, 0.7336, 0.7111)  0.03
O (0.7148, 0.0823, 0.8013)  -0.03
O (0.7778, 0.9174, 0.2621)  0.02
O (0.2211, 0.0976, 0.6987)  0.03
O (0.5432, 0.4525, 0.7845)  0.01
O (0.0282, 0.3297, 0.7781)  0.01
Li (0.3444, 0.3349, 0.4662)  0.00
Li (0.8263, 0.3420, 0.5605)  0.00
Li (0.2471, 0.5136, 0.9604)  0.00
Li (0.1922, 0.7197, 0.4316)  0.00
Li (0.6568, 0.6659, 0.5229)  0.00
Li (0.7516, 0.4951, 0.9992)  0.00
Os (0.5674, 0.8538, 0.9973)  -0.18
Os (0.9407, 0.1560, 0.0703)  0.52
Os (0.0031, 0.9791, 0.4811)  0.37
Os (0.4136, 0.1335, 0.9794)  0.65

---

Run B
# Li6Os4O11

A relaxed structure of Li6Os4O11 (GGA-PBE, the Open Quantum Materials Database).

Summary:
The calculation puts the spin magnetization at 0.083 μB/atom. Its space-group type is No. 1.

Cell: 9.9253 4.9497 5.0330 Å, 98.36 98.21 117.59°
Site moments in Bohr magnetons follow the coordinates.
Positions (direct):
Li (0.6682, 0.6710, 0.4991)  0.00
Li (0.7507, 0.5017, 0.9979)  0.00
Li (0.1650, 0.6836, 0.5125)  0.00
Li (0.2488, 0.4959, 0.9856)  0.00
Li (0.3432, 0.3351, 0.5087)  0.00
Li (0.8340, 0.3322, 0.5033)  0.00
Os (0.4264, 0.1441, 0.0024)  0.18
Os (0.9360, 0.1437, 0.0002)  0.60
Os (0.5730, 0.8620, 0.9939)  0.43
Os (0.0727, 0.8670, 0.0126)  0.00
O (0.4523, 0.5470, 0.2142)  0.02
O (0.5437, 0.4503, 0.7842)  0.01
O (0.6286, 0.2577, 0.2574)  0.06
O (0.9672, 0.5429, 0.2245)  0.01
O (0.8703, 0.7401, 0.7433)  0.11
O (0.7760, 0.9214, 0.2144)  0.04
O (0.2227, 0.0830, 0.7827)  0.00
O (0.3688, 0.7389, 0.7361)  0.05
O (0.2720, 0.9193, 0.2253)  -0.01
O (0.7110, 0.0817, 0.7688)  0.06
O (0.0400, 0.4224, 0.7719)  0.06

---

Run C
# Li6Os4O11

A relaxed structure of Li6Os4O11 (GGA-PBE, the Open Quantum Materials Database).

Summary:
The calculation puts the spin magnetization at 0.000 μB/atom. Its space-group type is No. 1.

Cell: 9.9718 4.8349 5.0694 Å, 98.18 98.17 117.79°
Site moments in Bohr magnetons follow the coordinates.
Positions (direct):
O (0.1271, 0.2641, 0.2608)  -0.01
O (0.7295, 0.0828, 0.7871)  0.01
O (0.3699, 0.7391, 0.7443)  0.00
O (0.9554, 0.5551, 0.2198)  0.00
O (0.2303, 0.1056, 0.7956)  0.00
O (0.7703, 0.8970, 0.2154)  0.00
O (0.6218, 0.2451, 0.2614)  0.01
O (0.0452, 0.4505, 0.7840)  0.00
O (0.2755, 0.9263, 0.2155)  0.00
O (0.8752, 0.7409, 0.7391)  -0.01
O (0.5460, 0.4448, 0.7578)  0.00
Li (0.2438, 0.5103, 0.9907)  0.00
Li (0.1682, 0.6692, 0.5044)  0.00
Li (0.3239, 0.3185, 0.4994)  0.00
Li (0.8343, 0.3289, 0.4980)  0.00
Li (0.6799, 0.6768, 0.5028)  0.00
Li (0.7508, 0.4892, 0.9957)  0.00
Os (0.5588, 0.8201, 0.0069)  0.05
Os (0.4374, 0.1791, 0.0019)  0.04
Os (0.9234, 0.1390, 0.0008)  -0.02
Os (0.0745, 0.8639, 0.0021)  -0.08

---

Quick one: most stable of them? run B

---

Run A
# LiOs2O6

A relaxed structure of LiOs2O6 (GGA-PBE, the Open Quantum Materials Database).

Summary:
The calculation puts the spin magnetization at 0.001 μB/atom. Its space-group type is No. 12.

Cell: 4.9074 4.9074 5.3119 Å, 102.77 102.77 116.04°
Positions (direct):
O (0.2351, 0.2351, 0.2857)
O (0.0500, 0.4063, 0.7982)
O (0.4063, 0.0500, 0.7982)
O (0.7649, 0.7649, 0.7143)
O (0.9500, 0.5937, 0.2018)
O (0.5937, 0.9500, 0.2018)
Os (0.8498, 0.1502, 0.0000)
Os (0.1502, 0.8498, 0.0000)
Li (0.0000, 0.0000, 0.5000)

---

Run B
# LiOs2O6

A relaxed structure of LiOs2O6 (GGA-PBE, the Open Quantum Materials Database).

Summary:
The calculation puts the spin magnetization at 0.002 μB/atom. Its space-group type is No. 5.

Cell: 4.9439 4.9439 5.0060 Å, 98.33 98.33 118.44°
Positions (direct):
O (0.2101, 0.2176, 0.2781)
O (0.7824, 0.7899, 0.7219)
O (0.9333, 0.5644, 0.2137)
O (0.0746, 0.4476, 0.7922)
O (0.4356, 0.0667, 0.7863)
O (0.5524, 0.9254, 0.2078)
Os (0.1415, 0.8585, 0.0000)
Os (0.8507, 0.1493, 0.0000)
Li (0.3533, 0.6467, 0.5000)

---

Quick one: most stable of them? run B

---

Run A
# Li3Os2O6

A relaxed structure of Li3Os2O6 (GGA-PBE, the Open Quantum Materials Database).

Summary:
The calculation puts the spin magnetization at 0.083 μB/atom. Its space-group type is No. 12.

Cell: 4.9579 4.9579 5.0863 Å, 98.96 98.96 117.34°
Site moments in Bohr magnetons follow the coordinates.
Positions (direct):
Os (0.1436, 0.8564, 0.0000)  0.33
Os (0.8564, 0.1436, 0.0000)  0.33
O (0.0827, 0.4463, 0.7836)  0.02
O (0.4463, 0.0827, 0.7836)  0.01
O (0.7411, 0.7411, 0.7389)  0.07
O (0.5537, 0.9173, 0.2164)  0.01
O (0.9173, 0.5537, 0.2164)  0.02
O (0.2589, 0.2589, 0.2611)  0.07
Li (0.3319, 0.6680, 0.5000)  0.00
Li (0.5000, 0.5000, 0.0000)  0.00
Li (0.6680, 0.3319, 0.5000)  0.00

---

Run B
# Li3Os2O6

A relaxed structure of Li3Os2O6 (GGA-PBE, the Open Quantum Materials Database).

Summary:
The calculation puts the spin magnetization at 0.090 μB/atom. Its space-group type is No. 5.

Cell: 4.9139 4.9139 5.2257 Å, 100.67 100.67 115.64°
Site moments in Bohr magnetons follow the coordinates.
Positions (direct):
O (0.2498, 0.2537, 0.2704)  0.05
O (0.9298, 0.5787, 0.2173)  0.03
O (0.0859, 0.4311, 0.7926)  0.02
O (0.7463, 0.7502, 0.7296)  0.05
O (0.5689, 0.9141, 0.2074)  0.01
O (0.4213, 0.0702, 0.7827)  0.02
Li (0.9946, 0.0054, 0.5000)  0.00
Li (0.3359, 0.6641, 0.5000)  0.00
Li (0.5047, 0.4953, 0.0000)  0.00
Os (0.1457, 0.8543, 0.0000)  0.44
Os (0.8509, 0.1491, 0.0000)  0.31

---

Quick one: most stable of them? run A

---

Run A
# LiPOsO

A relaxed structure of LiPOsO (GGA-PBE, the Open Quantum Materials Database).

Summary:
The calculation puts the spin magnetization at 0.003 μB/atom. Its space-group type is No. 129.

Cell: 3.9116 3.9116 7.0193 Å, 90.00 90.00 90.00°
Positions (direct):
Li (0.5000, 0.0000, 0.9486)
Li (0.0000, 0.5000, 0.0514)
P (0.5000, 0.0000, 0.3215)
P (0.0000, 0.5000, 0.6785)
Os (0.0000, 0.0000, 0.5000)
Os (0.5000, 0.5000, 0.5000)
O (0.0000, 0.0000, 0.0000)
O (0.5000, 0.5000, 0.0000)

---

Run B
# LiPOsO

A relaxed structure of LiPOsO (GGA-PBE, the Open Quantum Materials Database).

Summary:
The calculation puts the spin magnetization at 0.001 μB/atom. Its space-group type is No. 26.

Cell: 3.9608 4.4336 5.8231 Å, 90.00 90.00 90.00°
Positions (direct):
Li (0.5000, 0.2692, 0.6090)
Li (0.5000, 0.7308, 0.1090)
O (0.5000, 0.9151, 0.4133)
O (0.5000, 0.0849, 0.9133)
P (0.0000, 0.6409, 0.7927)
P (0.0000, 0.3591, 0.2927)
Os (0.0000, 0.1678, 0.9390)
Os (0.0000, 0.8322, 0.4390)

---

Run C
# LiPOsO

A relaxed structure of LiPOsO (GGA-PBE, the Open Quantum Materials Database).

Summary:
The calculation puts the spin magnetization at 0.001 μB/atom. Its space-group type is No. 26.

Cell: 2.9978 6.2486 5.6655 Å, 90.00 90.00 90.00°
Positions (direct):
P (0.0000, 0.2082, 0.3670)
P (0.0000, 0.7918, 0.8670)
Li (0.0000, 0.3964, 0.9130)
Li (0.0000, 0.6036, 0.4130)
O (0.5000, 0.7618, 0.3602)
O (0.5000, 0.2382, 0.8602)
Os (0.5000, 0.9979, 0.6137)
Os (0.5000, 0.0021, 0.1137)

---

Run D
# LiPOsO

A relaxed structure of LiPOsO (GGA-PBE, the Open Quantum Materials Database).

Summary:
The calculation puts the spin magnetization at 0.001 μB/atom. Its space-group type is No. 129.

Cell: 3.3179 3.3179 8.4951 Å, 90.00 90.00 90.00°
Positions (direct):
P (0.0000, 0.5000, 0.7117)
P (0.5000, 0.0000, 0.2883)
Li (0.0000, 0.0000, 0.5000)
Li (0.5000, 0.5000, 0.5000)
Os (0.5000, 0.0000, 0.8369)
Os (0.0000, 0.5000, 0.1631)
O (0.5000, 0.5000, 0.0000)
O (0.0000, 0.0000, 0.0000)

---

Quick one: most stable of them? run C

---

Run A
# LiOsSO

A relaxed structure of LiOsSO (GGA-PBE, the Open Quantum Materials Database).

Summary:
The calculation puts the spin magnetization at 0.000 μB/atom. Its space-group type is No. 4.

Cell: 5.3084 4.8219 9.0475 Å, 90.00 105.38 90.00°
Positions (direct):
Os (0.8654, 0.2063, 0.8436)
Os (0.5653, 0.8540, 0.8494)
Os (0.4347, 0.3540, 0.1506)
Os (0.1346, 0.7063, 0.1564)
S (0.1631, 0.0828, 0.7086)
S (0.8369, 0.5828, 0.2914)
S (0.3825, 0.0267, 0.3386)
S (0.6175, 0.5267, 0.6614)
O (0.8774, 0.5852, 0.9576)
O (0.3884, 0.5902, 0.9495)
O (0.1226, 0.0852, 0.0424)
O (0.6116, 0.0902, 0.0505)
Li (0.2254, 0.3760, 0.4801)
Li (0.0687, 0.6787, 0.8137)
Li (0.7746, 0.8760, 0.5199)
Li (0.9313, 0.1787, 0.1863)

---

Run B
# LiOsSO

A relaxed structure of LiOsSO (GGA-PBE, the Open Quantum Materials Database).

Summary:
The calculation puts the spin magnetization at 0.004 μB/atom. Its space-group type is No. 129.

Cell: 3.4631 3.4631 7.9051 Å, 90.00 90.00 90.00°
Positions (direct):
Os (0.7500, 0.7500, 0.8362)
Os (0.2500, 0.2500, 0.1638)
Li (0.2500, 0.7500, 0.5000)
Li (0.7500, 0.2500, 0.5000)
O (0.7500, 0.2500, 0.0000)
O (0.2500, 0.7500, 0.0000)
S (0.7500, 0.7500, 0.2903)
S (0.2500, 0.2500, 0.7097)

---

Quick one: most stable of them? run A

---

Run A
# LiOsSO

A relaxed structure of LiOsSO (GGA-PBE, the Open Quantum Materials Database).

Summary:
The calculation puts the spin magnetization at 0.007 μB/atom. Its space-group type is No. 14.

Cell: 5.8528 6.1604 5.8109 Å, 90.00 111.83 90.00°
Positions (direct):
Os (0.7285, 0.8835, 0.7621)
Os (0.7285, 0.6165, 0.2621)
Os (0.2715, 0.3835, 0.7379)
Os (0.2715, 0.1165, 0.2379)
S (0.1008, 0.0629, 0.8155)
S (0.8992, 0.5629, 0.6845)
S (0.8992, 0.9371, 0.1845)
S (0.1008, 0.4371, 0.3155)
O (0.4928, 0.6607, 0.8565)
O (0.5072, 0.3393, 0.1434)
O (0.4928, 0.8393, 0.3566)
O (0.5072, 0.1607, 0.6435)
Li (0.2498, 0.7932, 0.5536)
Li (0.7502, 0.2068, 0.4464)
Li (0.7502, 0.2932, 0.9464)
Li (0.2498, 0.7068, 0.0536)

---

Run B
# LiOsSO

A relaxed structure of LiOsSO (GGA-PBE, the Open Quantum Materials Database).

Summary:
The calculation puts the spin magnetization at 0.001 μB/atom. Its space-group type is No. 26.

Cell: 3.0272 7.1604 4.9975 Å, 90.00 90.00 90.00°
Positions (direct):
S (0.0000, 0.3080, 0.6361)
S (0.0000, 0.6920, 0.1361)
Li (0.0000, 0.6586, 0.6169)
Li (0.0000, 0.3414, 0.1169)
O (0.5000, 0.8080, 0.6777)
O (0.5000, 0.1920, 0.1777)
Os (0.5000, 0.0657, 0.5603)
Os (0.5000, 0.9343, 0.0603)

---

Run C
# LiOsSO

A relaxed structure of LiOsSO (GGA-PBE, the Open Quantum Materials Database).

Summary:
The calculation puts the spin magnetization at 0.001 μB/atom. Its space-group type is No. 29.

Cell: 5.6302 6.4205 5.4274 Å, 90.00 90.00 90.00°
Positions (direct):
O (0.3708, 0.8409, 0.7944)
O (0.8708, 0.1591, 0.7944)
O (0.1292, 0.8409, 0.2944)
O (0.6292, 0.1591, 0.2944)
Li (0.8645, 0.9727, 0.1244)
Li (0.1355, 0.0273, 0.6244)
Li (0.6355, 0.9727, 0.6244)
Li (0.3645, 0.0273, 0.1244)
Os (0.7512, 0.3916, 0.0424)
Os (0.2488, 0.6084, 0.5424)
Os (0.2512, 0.6084, 0.0424)
Os (0.7488, 0.3916, 0.5424)
S (0.4002, 0.3353, 0.7889)
S (0.5998, 0.6647, 0.2889)
S (0.0998, 0.3353, 0.2889)
S (0.9002, 0.6647, 0.7889)

---

Quick one: most stable of them? run C

---

Run A
# LiTeOsO

A relaxed structure of LiTeOsO (GGA-PBE, the Open Quantum Materials Database).

Summary:
The calculation puts the spin magnetization at 0.063 μB/atom. Its space-group type is No. 26.

Cell: 3.7631 6.1522 5.7860 Å, 90.00 90.00 90.00°
Positions (direct):
O (0.5000, 0.2362, 0.1856)
O (0.5000, 0.7638, 0.6856)
Os (0.5000, 0.0001, 0.9354)
Os (0.5000, 0.9999, 0.4354)
Te (0.0000, 0.2214, 0.6857)
Te (0.0000, 0.7786, 0.1857)
Li (0.0000, 0.3045, 0.1843)
Li (0.0000, 0.6955, 0.6843)

---

Run B
# LiTeOsO

A relaxed structure of LiTeOsO (GGA-PBE, the Open Quantum Materials Database).

Summary:
The calculation puts the spin magnetization at 0.002 μB/atom. Its space-group type is No. 129.

Cell: 3.6871 3.6871 8.7088 Å, 90.00 90.00 90.00°
Positions (direct):
Os (0.2500, 0.2500, 0.1449)
Os (0.7500, 0.7500, 0.8551)
Te (0.7500, 0.7500, 0.2717)
Te (0.2500, 0.2500, 0.7283)
Li (0.2500, 0.7500, 0.5000)
Li (0.7500, 0.2500, 0.5000)
O (0.2500, 0.7500, 0.0000)
O (0.7500, 0.2500, 0.0000)

---

Quick one: most stable of them? run A